# 1
This record from Alexandria via LeMat-Bulk describes crystalline CaTb3Ru at its relaxed geometry. The functional is GGA-PBE.

Computed properties:
E_form (eV/atom): -0.142
Calculated volume (Å³/atom): 32.539
Total moment (μB per formula unit): 0.00

```
CaTb3Ru
1.0
-0.373 5.390 0.782
-0.702 -0.825 5.351
5.401 0.265 0.750
Ru Ca Tb
1 1 3
Cartesian
0.000 0.000 0.000
2.163 2.415 3.441
-0.351 -0.413 2.675
2.700 0.133 0.375
-0.187 2.695 0.391
```

=====

# 2
This record from Alexandria via LeMat-Bulk describes crystalline CaTbRu at its relaxed geometry. The functional is GGA-PBE.

Computed properties:
E_form (eV/atom): -0.109
Calculated volume (Å³/atom): 25.944
Total moment (μB per formula unit): 0.00

```
CaTbRu
1.0
-1.174 0.154 3.263
1.817 -2.850 0.788
4.730 5.024 -0.380
Ru Ca Tb
1 1 1
Cartesian
2.104 -0.051 2.606
0.353 0.257 0.115
2.916 2.122 0.950
```

=====

# 3
This record from Alexandria via LeMat-Bulk describes crystalline CaTb2Ru at its relaxed geometry. The functional is GGA-PBE.

Computed properties:
E_form (eV/atom): 0.026
Calculated volume (Å³/atom): 33.460
Total moment (μB per formula unit): 0.00

```
CaTb2Ru
1.0
-0.712 -0.028 3.769
2.906 -0.133 2.500
1.088 10.443 2.235
Ru Ca Tb
1 1 2
Cartesian
1.641 5.141 4.252
0.000 0.000 0.000
0.964 6.794 2.184
2.318 3.488 6.320
```

=====

# 4
This record from Alexandria via LeMat-Bulk describes crystalline CaTb2Ru at its relaxed geometry. The functional is GGA-PBE.

Computed properties:
E_form (eV/atom): -0.206
Calculated volume (Å³/atom): 28.573
Total moment (μB per formula unit): 0.00

```
CaTb2Ru
1.0
-1.461 1.974 -2.428
-2.686 -2.165 -0.144
-4.454 5.072 6.805
Ru Ca Tb
1 1 2
Cartesian
-2.073 -0.096 -1.286
-4.301 2.441 2.116
-3.688 4.200 5.634
-0.766 0.873 1.171
```

=====

# 5
This record from Alexandria via LeMat-Bulk describes crystalline CaTcRu at its relaxed geometry. The functional is GGA-PBE.

Computed properties:
E_form (eV/atom): 0.378
Calculated volume (Å³/atom): 22.817
Total moment (μB per formula unit): 0.00

```
CaTcRu
1.0
-3.001 -1.528 -2.304
3.887 -0.898 -0.855
-0.251 -3.795 2.842
Ru Ca Tc
1 1 1
Cartesian
-0.830 -3.217 -0.399
-0.251 -3.794 2.842
1.466 -3.003 0.082
```

=====

# 6
This record from Alexandria via LeMat-Bulk describes crystalline CaTcRu3 at its relaxed geometry. The functional is GGA-PBE.

Computed properties:
E_form (eV/atom): 0.945
Calculated volume (Å³/atom): 20.662
Total moment (μB per formula unit): 0.00

```
CaTcRu3
1.0
-3.850 0.641 2.605
2.566 -0.448 3.903
0.782 4.627 0.017
Ru Ca Tc
3 1 1
Cartesian
1.283 -0.224 1.951
0.391 2.313 0.009
-1.925 0.320 1.303
-0.251 2.410 3.262
0.000 0.000 0.000
```

=====

# 7
This record from Alexandria via LeMat-Bulk describes crystalline CaTc2Ru2 at its relaxed geometry. The functional is GGA-PBE.

Computed properties:
E_form (eV/atom): 0.141
Calculated volume (Å³/atom): 16.675
Total moment (μB per formula unit): 0.00

```
CaTc2Ru2
1.0
7.774 0.000 0.000
0.000 7.774 0.000
0.000 0.000 2.759
Ru Ca Tc
4 2 4
Cartesian
1.306 5.194 1.380
5.194 6.468 1.380
6.468 2.581 1.380
2.581 1.306 1.380
0.000 0.000 0.000
3.887 3.887 0.000
2.972 6.859 0.000
6.859 4.802 0.000
4.802 0.915 0.000
0.915 2.972 0.000
```

=====

# 8
This record from Alexandria via LeMat-Bulk describes crystalline CaTcRu at its relaxed geometry. The functional is GGA-PBE.

Computed properties:
E_form (eV/atom): 0.597
Calculated volume (Å³/atom): 17.593
Total moment (μB per formula unit): 0.00

```
CaTcRu
1.0
-1.434 2.327 1.040
-0.443 -0.881 -2.754
-5.281 -4.241 2.207
Ru Ca Tc
1 1 1
Cartesian
-2.676 -1.339 -0.694
-0.015 -0.012 0.006
-4.468 -1.444 1.181
```

=====

# 9
This record from Alexandria via LeMat-Bulk describes crystalline CaTc2Ru2 at its relaxed geometry. The functional is GGA-PBE.

Computed properties:
E_form (eV/atom): 0.188
Calculated volume (Å³/atom): 16.589
Total moment (μB per formula unit): 0.00

```
CaTc2Ru2
1.0
-5.779 1.906 -4.791
4.315 -2.152 -6.060
-1.008 -2.568 0.194
Ru Ca Tc
4 2 4
Cartesian
1.604 -1.169 -7.134
-2.392 0.335 -7.976
-3.068 0.923 -3.717
0.928 -0.582 -2.876
0.000 0.000 0.000
-0.732 -0.123 -5.426
1.408 -2.401 -4.749
-0.768 -1.804 -8.146
-3.880 -0.413 -5.908
-1.704 -1.010 -2.511
```

=====

# 10
This record from Alexandria via LeMat-Bulk describes crystalline Ca2TcRu2 at its relaxed geometry. The functional is GGA-PBE.

Computed properties:
E_form (eV/atom): 0.195
Calculated volume (Å³/atom): 20.390
Total moment (μB per formula unit): 0.00

```
Ca2TcRu2
1.0
6.439 0.000 0.000
0.000 6.439 0.000
0.000 0.000 4.918
Ru Ca Tc
4 4 2
Cartesian
2.358 5.578 0.000
5.578 4.081 0.000
4.081 0.861 0.000
0.861 2.358 0.000
1.162 4.381 2.459
4.381 5.277 2.459
5.277 2.058 2.459
2.058 1.162 2.459
0.000 0.000 0.000
3.220 3.220 0.000
```

=====

# 11
This record from Alexandria via LeMat-Bulk describes crystalline CaTcRu at its relaxed geometry. The functional is GGA-PBE.

Computed properties:
E_form (eV/atom): 0.282
Calculated volume (Å³/atom): 19.484
Total moment (μB per formula unit): 0.00

```
CaTcRu
1.0
-3.066 2.350 4.862
-3.705 -0.762 4.925
1.980 -0.358 2.460
Ru Ca Tc
1 1 1
Cartesian
-0.630 0.222 4.645
-6.769 1.588 9.785
-4.165 1.009 7.605
```

=====

# 12
This record from Alexandria via LeMat-Bulk describes crystalline CaTcRu3 at its relaxed geometry. The functional is GGA-PBE.

Computed properties:
E_form (eV/atom): 2.568
Calculated volume (Å³/atom): 18.385
Total moment (μB per formula unit): 0.00

```
CaTcRu3
1.0
-3.912 0.363 2.221
-1.162 -4.141 -1.369
1.928 -1.758 3.683
Ru Ca Tc
3 1 1
Cartesian
-0.581 -2.070 -0.684
0.964 -0.879 1.841
-1.956 0.182 1.111
0.000 0.000 0.000
-1.573 -2.768 2.267
```